First-principles (PBE with a Hubbard U) data for a relaxed structure of CrCoCuF2, as listed in Alexandria via LeMat-Bulk.

VASP energy = -4.35 eV/atom
symmetry = No. 123
total magnetic moment = 0.520 μB/atom

Cell lengths 3.8078, 3.8078, 5.8325 Å; angles 90.00, 90.00, 90.00 degrees
Fractional positions:
1 Cr 0.0000 0.0000 0.0000
2 Co 0.5000 0.5000 0.0000
3 Cu 0.0000 0.0000 0.5000
4 F 0.0000 0.5000 0.5000
5 F 0.5000 0.0000 0.5000

---

First-principles (PBE with a Hubbard U) data for a relaxed structure of CrCoCuF6, as listed in Alexandria via LeMat-Bulk.

VASP energy = -5.20 eV/atom
symmetry = No. 163
total magnetic moment = 0.004 μB/atom

Cell lengths 5.2954, 5.2954, 9.2359 Å; angles 90.00, 90.00, 120.00 degrees
Fractional positions:
1 Cr 0.3333 0.6667 0.2500
2 Cr 0.6667 0.3333 0.7500
3 Co 0.3333 0.6667 0.7500
4 Co 0.6667 0.3333 0.2500
5 Cu 0.0000 0.0000 0.0000
6 Cu 0.0000 0.0000 0.5000
7 F 0.0132 0.3552 0.1355
8 F 0.0132 0.6580 0.3645
9 F 0.3420 0.3552 0.3645
10 F 0.3420 0.9868 0.1355
11 F 0.3552 0.0132 0.6355
12 F 0.3552 0.3420 0.8645
13 F 0.6448 0.6580 0.1355
14 F 0.6448 0.9868 0.3645
15 F 0.6580 0.0132 0.8645
16 F 0.6580 0.6448 0.6355
17 F 0.9868 0.3420 0.6355
18 F 0.9868 0.6448 0.8645

---

- Number 1 is which compound?
  CrCoCuF2